! Tb2Sm6Y3 PBE optimized geometry; values from VASP
! calculated formation energy = 281.4 meV per atom
! N(E_F) = 14.96 states/eV/f.u.
! distance to the lowest polymorph of the same formula = 0.268 eV/atom
&SYSTEM
  ibrav = 0, nat = 11, ntyp = 3
/
ATOMIC_SPECIES
Tb 158.93 Tb.upf
Sm 150.36 Sm.upf
Y 88.91 Y.upf
ATOMIC_POSITIONS crystal
Tb 0.045 0.045 0.000
Tb 0.955 0.955 0.000
Sm 0.120 0.620 0.500
Sm 0.195 0.195 0.000
Sm 0.380 0.880 0.500
Sm 0.620 0.120 0.500
Sm 0.805 0.805 0.000
Sm 0.880 0.380 0.500
Y 0.299 0.299 0.000
Y 0.500 0.500 0.000
Y 0.701 0.701 0.000
CELL_PARAMETERS angstrom
-2.392 2.392 16.729
2.392 -2.392 16.729
2.392 2.392 -16.729

! Tb2Sm2Y3 PBE optimized geometry; values from VASP
! calculated formation energy = 130.6 meV per atom
! N(E_F) = 11.85 states/eV/f.u.
! distance to the lowest polymorph of the same formula = 0.113 eV/atom
&SYSTEM
  ibrav = 0, nat = 7, ntyp = 3
/
ATOMIC_SPECIES
Tb 158.93 Tb.upf
Sm 150.36 Sm.upf
Y 88.91 Y.upf
ATOMIC_POSITIONS crystal
Tb 0.137 0.137 0.409
Tb 0.863 0.863 0.591
Sm 0.422 0.422 0.299
Sm 0.578 0.578 0.701
Y 0.279 0.279 0.851
Y 0.500 0.500 0.000
Y 0.721 0.721 0.149
CELL_PARAMETERS angstrom
8.393 -1.753 0.000
8.393 1.753 0.000
-3.870 0.000 7.871

! Tb4Sm7Y PBE optimized geometry; values from VASP
! calculated formation energy = 4.1 meV per atom
! N(E_F) = 15.07 states/eV/f.u.
! distance to the lowest polymorph of the same formula = 0.000 eV/atom
&SYSTEM
  ibrav = 0, nat = 12, ntyp = 3
/
ATOMIC_SPECIES
Tb 158.93 Tb.upf
Sm 150.36 Sm.upf
Y 88.91 Y.upf
ATOMIC_POSITIONS crystal
Tb 0.221 0.000 0.334
Tb 0.278 0.249 0.667
Tb 0.722 0.751 0.333
Tb 0.779 0.000 0.666
Sm 0.000 0.000 0.000
Sm 0.223 0.500 0.334
Sm 0.279 0.751 0.666
Sm 0.499 0.248 0.000
Sm 0.501 0.752 0.000
Sm 0.721 0.249 0.334
Sm 0.777 0.500 0.666
Y 0.000 0.500 0.000
CELL_PARAMETERS angstrom
6.292 0.000 0.000
0.001 7.263 0.000
2.094 0.001 8.707

! Tb5Sm2Y5 PBE optimized geometry; values from VASP
! calculated formation energy = 18.8 meV per atom
! N(E_F) = 17.73 states/eV/f.u.
&SYSTEM
  ibrav = 0, nat = 12, ntyp = 3
/
ATOMIC_SPECIES
Tb 158.93 Tb.upf
Sm 150.36 Sm.upf
Y 88.91 Y.upf
ATOMIC_POSITIONS crystal
Tb 0.000 0.000 0.000
Tb 0.167 0.167 0.500
Tb 0.250 0.250 0.250
Tb 0.750 0.750 0.750
Tb 0.833 0.833 0.500
Sm 0.083 0.083 0.749
Sm 0.917 0.917 0.251
Y 0.333 0.333 0.000
Y 0.416 0.416 0.750
Y 0.500 0.500 0.500
Y 0.584 0.584 0.250
Y 0.667 0.667 0.000
CELL_PARAMETERS angstrom
7.585 -2.528 0.000
7.585 2.528 0.000
-5.058 0.000 10.116

! Tb5Sm4Y4 PBE optimized geometry; values from VASP
! calculated formation energy = 16.0 meV per atom
! N(E_F) = 18.06 states/eV/f.u.
&SYSTEM
  ibrav = 0, nat = 13, ntyp = 3
/
ATOMIC_SPECIES
Tb 158.93 Tb.upf
Sm 150.36 Sm.upf
Y 88.91 Y.upf
ATOMIC_POSITIONS crystal
Tb 0.000 0.000 0.000
Tb 0.309 0.461 0.771
Tb 0.461 0.691 0.152
Tb 0.539 0.309 0.848
Tb 0.691 0.539 0.229
Sm 0.077 0.616 0.693
Sm 0.384 0.077 0.461
Sm 0.616 0.923 0.539
Sm 0.923 0.384 0.307
Y 0.153 0.230 0.383
Y 0.230 0.847 0.077
Y 0.770 0.153 0.923
Y 0.847 0.770 0.617
CELL_PARAMETERS angstrom
-6.469 6.469 2.528
6.469 -6.469 2.528
6.469 6.469 -2.528

! Tb2Sm5Y2 PBE optimized geometry; values from VASP
! calculated formation energy = 135.7 meV per atom
! N(E_F) = 15.20 states/eV/f.u.
! distance to the lowest polymorph of the same formula = 0.000 eV/atom
&SYSTEM
  ibrav = 0, nat = 9, ntyp = 3
/
ATOMIC_SPECIES
Tb 158.93 Tb.upf
Sm 150.36 Sm.upf
Y 88.91 Y.upf
ATOMIC_POSITIONS crystal
Tb 0.101 0.101 0.337
Tb 0.899 0.899 0.663
Sm 0.280 0.280 0.355
Sm 0.444 0.444 0.331
Sm 0.500 0.500 0.000
Sm 0.556 0.556 0.669
Sm 0.720 0.720 0.645
Y 0.323 0.323 0.965
Y 0.677 0.677 0.035
CELL_PARAMETERS angstrom
10.112 -1.757 0.000
10.112 1.757 0.000
-1.733 0.000 8.527

! Tb3Sm3YZn2 PBE optimized geometry; values from VASP
! calculated formation energy = -10.3 meV per atom
! N(E_F) = 14.48 states/eV/f.u.
&SYSTEM
  ibrav = 0, nat = 9, ntyp = 4
/
ATOMIC_SPECIES
Tb 158.93 Tb.upf
Sm 150.36 Sm.upf
Y 88.91 Y.upf
Zn 65.41 Zn.upf
ATOMIC_POSITIONS crystal
Tb 0.000 0.373 0.000
Tb 0.373 0.000 0.000
Tb 0.627 0.627 0.000
Sm 0.000 0.685 0.500
Sm 0.315 0.315 0.500
Sm 0.685 0.000 0.500
Y 0.000 0.000 0.000
Zn 0.333 0.667 0.500
Zn 0.667 0.333 0.500
CELL_PARAMETERS angstrom
9.138 0.000 0.000
-4.569 7.913 0.000
0.000 0.000 3.617

! Tb3Sm2Y6Zr PBE optimized geometry; values from VASP
! calculated formation energy = 52.3 meV per atom
! N(E_F) = 15.88 states/eV/f.u.
&SYSTEM
  ibrav = 0, nat = 12, ntyp = 4
/
ATOMIC_SPECIES
Tb 158.93 Tb.upf
Sm 150.36 Sm.upf
Y 88.91 Y.upf
Zr 91.22 Zr.upf
ATOMIC_POSITIONS crystal
Tb 0.000 0.000 0.000
Tb 0.334 0.666 0.000
Tb 0.666 0.334 0.000
Sm 0.167 0.833 0.500
Sm 0.833 0.167 0.500
Y 0.091 0.418 0.254
Y 0.256 0.256 0.746
Y 0.418 0.091 0.254
Y 0.582 0.909 0.746
Y 0.744 0.744 0.254
Y 0.909 0.582 0.746
Zr 0.500 0.500 0.500
CELL_PARAMETERS angstrom
3.071 -5.311 0.000
3.071 5.311 0.000
-2.032 0.000 11.538

! Tb6Sm3Y2Zr PBE optimized geometry; values from VASP
! calculated formation energy = 44.6 meV per atom
! N(E_F) = 14.99 states/eV/f.u.
&SYSTEM
  ibrav = 0, nat = 12, ntyp = 4
/
ATOMIC_SPECIES
Tb 158.93 Tb.upf
Sm 150.36 Sm.upf
Y 88.91 Y.upf
Zr 91.22 Zr.upf
ATOMIC_POSITIONS crystal
Tb 0.081 0.407 0.243
Tb 0.245 0.245 0.757
Tb 0.407 0.081 0.243
Tb 0.593 0.919 0.757
Tb 0.755 0.755 0.243
Tb 0.919 0.593 0.757
Sm 0.166 0.834 0.500
Sm 0.500 0.500 0.500
Sm 0.834 0.166 0.500
Y 0.333 0.667 0.000
Y 0.667 0.333 0.000
Zr 0.000 0.000 0.000
CELL_PARAMETERS angstrom
3.073 -5.313 0.000
3.073 5.313 0.000
-2.027 0.000 11.554

! TbSmYZr PBE optimized geometry; values from VASP
! calculated formation energy = 229.4 meV per atom
! N(E_F) = 7.74 states/eV/f.u.
&SYSTEM
  ibrav = 0, nat = 4, ntyp = 4
/
ATOMIC_SPECIES
Tb 158.93 Tb.upf
Sm 150.36 Sm.upf
Y 88.91 Y.upf
Zr 91.22 Zr.upf
ATOMIC_POSITIONS crystal
Tb 0.000 0.000 0.000
Sm 0.250 0.250 0.250
Y 0.500 0.500 0.500
Zr 0.750 0.750 0.750
CELL_PARAMETERS angstrom
0.000 3.915 3.915
3.915 0.000 3.915
3.915 3.915 0.000

! Tb2SmZn PBE optimized geometry; values from VASP
! calculated formation energy = -163.2 meV per atom
! N(E_F) = 4.15 states/eV/f.u.
! distance to the lowest polymorph of the same formula = 0.000 eV/atom
&SYSTEM
  ibrav = 0, nat = 4, ntyp = 3
/
ATOMIC_SPECIES
Tb 158.93 Tb.upf
Sm 150.36 Sm.upf
Zn 65.41 Zn.upf
ATOMIC_POSITIONS crystal
Tb 0.000 0.000 0.205
Tb 0.000 0.000 0.795
Sm 0.500 0.500 0.500
Zn 0.500 0.500 0.000
CELL_PARAMETERS angstrom
3.594 0.000 0.000
0.000 3.594 0.000
0.000 0.000 8.674

! Tb3Sm2Zn2 PBE optimized geometry; values from VASP
! calculated formation energy = -126.0 meV per atom
! N(E_F) = 7.46 states/eV/f.u.
! distance to the lowest polymorph of the same formula = 0.000 eV/atom
&SYSTEM
  ibrav = 0, nat = 7, ntyp = 3
/
ATOMIC_SPECIES
Tb 158.93 Tb.upf
Sm 150.36 Sm.upf
Zn 65.41 Zn.upf
ATOMIC_POSITIONS crystal
Tb 0.000 0.000 0.000
Tb 0.417 0.583 0.500
Tb 0.583 0.417 0.500
Sm 0.300 0.700 0.500
Sm 0.700 0.300 0.500
Zn 0.140 0.860 0.000
Zn 0.860 0.140 0.000
CELL_PARAMETERS angstrom
1.815 -15.186 0.000
1.815 15.186 0.000
0.000 0.000 3.564

Repeat the fourth record exactly.
! Tb5Sm2Y5 PBE optimized geometry; values from VASP
! calculated formation energy = 18.8 meV per atom
! N(E_F) = 17.73 states/eV/f.u.
&SYSTEM
  ibrav = 0, nat = 12, ntyp = 3
/
ATOMIC_SPECIES
Tb 158.93 Tb.upf
Sm 150.36 Sm.upf
Y 88.91 Y.upf
ATOMIC_POSITIONS crystal
Tb 0.000 0.000 0.000
Tb 0.167 0.167 0.500
Tb 0.250 0.250 0.250
Tb 0.750 0.750 0.750
Tb 0.833 0.833 0.500
Sm 0.083 0.083 0.749
Sm 0.917 0.917 0.251
Y 0.333 0.333 0.000
Y 0.416 0.416 0.750
Y 0.500 0.500 0.500
Y 0.584 0.584 0.250
Y 0.667 0.667 0.000
CELL_PARAMETERS angstrom
7.585 -2.528 0.000
7.585 2.528 0.000
-5.058 0.000 10.116

Question: Number 4 is which compound?
Answer: Tb5Sm2Y5

Question: The lowest calculated formation energy belongs to which entry?
Answer: Tb2SmZn